No. 1
Entry from Alexandria: crystalline CsSnHgAu at its relaxed geometry (GGA-PBE).

abc: 7.6699 7.6699 7.6699
angles: 36.86 36.86 36.86
Fractional positions:
1 Cs 0.0000 0.0000 0.0000
2 Sn 0.8080 0.8080 0.8080
3 Hg 0.2035 0.2035 0.2035
4 Au 0.4595 0.4595 0.4595

Computed properties:
Uncorrected energy   -2.291 eV per atom
Fermi-level density of states   2.15 states/eV/cell


No. 2
Entry from Alexandria: crystalline Cs2SnHg6Au at its relaxed geometry (GGA-PBE).

abc: 8.0799 8.0986 8.0994
angles: 89.85 60.30 60.24
Fractional positions:
1 Cs 0.9999 0.2440 0.2561
2 Cs 0.0001 0.7560 0.7439
3 Sn 0.5000 0.0000 0.5000
4 Hg 0.0146 0.7324 0.2324
5 Hg 0.4959 0.2606 0.7583
6 Hg 0.5003 0.2560 0.2413
7 Hg 0.4997 0.7440 0.7587
8 Hg 0.5041 0.7394 0.2417
9 Hg 0.9854 0.2676 0.7676
10 Au 0.5000 0.5000 0.0000

Computed properties:
Uncorrected energy   -1.241 eV per atom
Fermi-level density of states   4.48 states/eV/cell


No. 3
Entry from Alexandria: crystalline CsSnHgAu2 at its relaxed geometry (GGA-PBE).

abc: 5.5161 5.5161 5.6588
angles: 90.00 90.00 90.00
Fractional positions:
1 Cs 0.0000 0.0000 0.0000
2 Sn 0.5000 0.5000 0.5000
3 Hg 0.5000 0.5000 0.0000
4 Au 0.0000 0.5000 0.5000
5 Au 0.5000 0.0000 0.5000

Computed properties:
Uncorrected energy   -2.518 eV per atom
Fermi-level density of states   0.64 states/eV/cell


No. 4
Entry from Alexandria: crystalline CsHgTeAu at its relaxed geometry (GGA-PBE).

abc: 4.8103 4.8103 13.4023
angles: 90.00 90.00 90.00
Fractional positions:
1 Cs 0.2500 0.2500 0.1986
2 Cs 0.7500 0.7500 0.8014
3 Hg 0.2500 0.7500 0.5000
4 Hg 0.7500 0.2500 0.5000
5 Te 0.2500 0.2500 0.6299
6 Te 0.7500 0.7500 0.3701
7 Au 0.2500 0.7500 0.0000
8 Au 0.7500 0.2500 0.0000

Computed properties:
Uncorrected energy   -2.054 eV per atom
Fermi-level density of states   3.18 states/eV/cell
E_form (uncorrected)   -0.16 eV/atom


No. 5
Entry from Alexandria: crystalline CsHg2TeAu at its relaxed geometry (GGA-PBE).

abc: 5.5628 5.5628 5.8132
angles: 90.00 90.00 90.00
Fractional positions:
1 Cs 0.0000 0.0000 0.0000
2 Hg 0.0000 0.5000 0.5000
3 Hg 0.5000 0.0000 0.5000
4 Te 0.5000 0.5000 0.0000
5 Au 0.5000 0.5000 0.5000

Computed properties:
Uncorrected energy   -1.893 eV per atom
Fermi-level density of states   0.55 states/eV/cell
E_form (uncorrected)   -0.32 eV/atom


No. 6
Entry from Alexandria: crystalline CsHgTe2Au at its relaxed geometry (GGA-PBE).

abc: 5.6847 5.6847 5.5458
angles: 90.00 90.00 90.00
Fractional positions:
1 Cs 0.0000 0.0000 0.0000
2 Hg 0.5000 0.5000 0.0000
3 Te 0.0000 0.5000 0.5000
4 Te 0.5000 0.0000 0.5000
5 Au 0.5000 0.5000 0.5000

Computed properties:
Uncorrected energy   -2.398 eV per atom
Fermi-level density of states   4.11 states/eV/cell
E_form (uncorrected)   -0.25 eV/atom


No. 7
Entry from Alexandria: crystalline Cs2Tl2HgAu at its relaxed geometry (GGA-PBE).

abc: 9.8476 9.8476 9.8476
angles: 131.33 70.07 132.88
Fractional positions:
1 Cs 0.1630 0.2488 0.4119
2 Cs 0.3370 0.7488 0.0858
3 Cs 0.6630 0.2512 0.9142
4 Cs 0.8370 0.7512 0.5881
5 Tl 0.0750 0.7775 0.8525
6 Tl 0.4250 0.2775 0.7025
7 Tl 0.5750 0.7225 0.2975
8 Tl 0.9250 0.2225 0.1475
9 Hg 0.2500 0.7500 0.5000
10 Hg 0.7500 0.2500 0.5000
11 Au 0.2500 0.2500 0.0000
12 Au 0.7500 0.7500 0.0000

Computed properties:
Uncorrected energy   -1.833 eV per atom
Fermi-level density of states   7.61 states/eV/cell


No. 8
Entry from Alexandria: crystalline Cs2TlHgAu at its relaxed geometry (GGA-PBE).

abc: 9.0068 5.4717 9.3172
angles: 90.00 111.52 90.00
Fractional positions:
1 Cs 0.1013 0.2500 0.3409
2 Cs 0.2983 0.2500 0.9573
3 Cs 0.7017 0.7500 0.0427
4 Cs 0.8987 0.7500 0.6591
5 Tl 0.4415 0.7500 0.3284
6 Tl 0.5585 0.2500 0.6716
7 Hg 0.3720 0.7500 0.6282
8 Hg 0.6280 0.2500 0.3718
9 Au 0.1056 0.7500 0.0808
10 Au 0.8944 0.2500 0.9192

Computed properties:
Uncorrected energy   -1.760 eV per atom
Fermi-level density of states   1.63 states/eV/cell
Energy above the most stable polymorph in this dataset   0.000 eV per formula unit


No. 9
Entry from Alexandria: crystalline Cs3Tl2Hg4Au2 at its relaxed geometry (GGA-PBE).

abc: 5.0476 5.0476 19.5588
angles: 90.00 90.00 120.00
Fractional positions:
1 Cs 0.0000 0.0000 0.0000
2 Cs 0.0000 0.0000 0.2587
3 Cs 0.0000 0.0000 0.7413
4 Tl 0.3333 0.6667 0.5553
5 Tl 0.6667 0.3333 0.4447
6 Hg 0.3333 0.6667 0.3912
7 Hg 0.3333 0.6667 0.8700
8 Hg 0.6667 0.3333 0.1300
9 Hg 0.6667 0.3333 0.6088
10 Au 0.3333 0.6667 0.1288
11 Au 0.6667 0.3333 0.8712

Computed properties:
Uncorrected energy   -1.566 eV per atom
Fermi-level density of states   3.07 states/eV/cell


No. 10
Entry from Alexandria: crystalline CsTlHgAu at its relaxed geometry (GGA-PBE).

abc: 5.8264 5.8264 5.8264
angles: 60.00 60.00 60.00
Fractional positions:
1 Cs 0.0000 0.0000 0.0000
2 Tl 0.5000 0.5000 0.5000
3 Hg 0.2500 0.2500 0.2500
4 Au 0.7500 0.7500 0.7500

Computed properties:
Uncorrected energy   -1.737 eV per atom
Fermi-level density of states   3.78 states/eV/cell
Energy above the most stable polymorph in this dataset   0.508 eV per formula unit


No. 11
Entry from Alexandria: crystalline CsTlHgAu at its relaxed geometry (GGA-PBE).

abc: 5.0059 5.0059 7.3337
angles: 109.94 109.94 60.49
Fractional positions:
1 Cs 0.0000 0.0000 0.0000
2 Tl 0.1970 0.1970 0.5864
3 Hg 0.4640 0.4640 0.3876
4 Au 0.8057 0.8057 0.4107

Computed properties:
Uncorrected energy   -1.864 eV per atom
Fermi-level density of states   2.57 states/eV/cell
Energy above the most stable polymorph in this dataset   0.000 eV per formula unit


No. 12
Entry from Alexandria: crystalline Cs2TlHgAu at its relaxed geometry (GGA-PBE).

abc: 7.0133 7.0133 5.3793
angles: 90.00 90.00 90.00
Fractional positions:
1 Cs 0.0000 0.5000 0.0000
2 Cs 0.5000 0.0000 0.0000
3 Tl 0.0000 0.0000 0.5000
4 Hg 0.5000 0.5000 0.5000
5 Au 0.0000 0.0000 0.0000

Computed properties:
Uncorrected energy   -1.641 eV per atom
Fermi-level density of states   4.52 states/eV/cell
Energy above the most stable polymorph in this dataset   0.595 eV per formula unit